DFT (PBE) results for a relaxed structure of V2InHgH.

Calculated values
total magnetic moment = 6.92 Bohr magnetons per cell
crystal system = tetragonal
DFT total energy = -3.190 eV/atom

Cell: 5.461 5.461 5.562 Å, 90.00 90.00 90.00°
Each line ends with the local moment (μB).
Positions (direct):
H  0.500  0.500  0.500  -0.18
V  0.000  0.500  0.000  2.92
V  0.500  0.000  0.000  2.92
Hg  0.000  0.000  0.000  0.06
In  0.000  0.000  0.500  0.02

***

DFT (PBE) results for a relaxed structure of ReTcP2.

Calculated values
DFT formation energy = 0.2996 eV/atom
total magnetic moment = 0.00 Bohr magnetons per cell
crystal system = orthorhombic
DFT total energy = -8.109 eV/atom

Cell: 2.789 2.789 9.344 Å, 90.00 90.00 115.04°
Positions (direct):
P  0.000  0.000  0.944
P  0.500  0.500  0.304
Re  0.000  0.000  0.500
Tc  0.500  0.500  0.753

***

DFT (PBE) results for a relaxed structure of MgV2Ir2.

Calculated values
DFT formation energy = -0.2933 eV/atom
total magnetic moment = 0.00 Bohr magnetons per cell
crystal system = tetragonal
DFT total energy = -7.804 eV/atom

Cell: 4.131 4.131 5.876 Å, 69.42 69.42 90.00°
Positions (direct):
Mg  0.000  0.000  0.000
Ir  0.376  0.376  0.247
Ir  0.624  0.624  0.753
V  0.750  0.250  0.500
V  0.250  0.750  0.500

***

DFT (PBE) results for a relaxed structure of TaNi2Rh.

Calculated values
DFT formation energy = -0.2151 eV/atom
total magnetic moment = 0.00 Bohr magnetons per cell
crystal system = cubic
DFT total energy = -7.907 eV/atom

Cell: 4.231 4.231 4.231 Å, 60.00 60.00 60.00°
Positions (direct):
Ni  0.250  0.250  0.250
Ni  0.750  0.750  0.750
Rh  0.000  0.000  0.000
Ta  0.500  0.500  0.500

***

DFT (PBE) results for a relaxed structure of ScSb2.

Calculated values
total magnetic moment = 0.00 Bohr magnetons per cell
crystal system = orthorhombic
DFT total energy = -5.390 eV/atom

Cell: 5.798 5.798 5.816 Å, 108.03 108.03 112.28°
Positions (direct):
Sc  0.250  0.250  0.000
Sc  0.750  0.750  0.000
Sb  0.149  0.649  0.797
Sb  0.649  0.851  0.500
Sb  0.851  0.351  0.203
Sb  0.351  0.149  0.500

***

DFT (PBE) results for a relaxed structure of Tm2Sc2Hg3.

Calculated values
DFT formation energy = -0.2825 eV/atom
total magnetic moment = 1.08 Bohr magnetons per cell
crystal system = orthorhombic
DFT total energy = -3.498 eV/atom

Cell: 3.634 3.586 13.422 Å, 90.00 82.22 90.00°
Each line ends with the local moment (μB).
Positions (direct):
Tm  0.570  0.500  0.860  0.04
Tm  0.430  0.500  0.140  0.04
Sc  0.701  0.500  0.598  0.32
Sc  0.299  0.500  0.402  0.32
Hg  0.857  0.000  0.285  0.00
Hg  0.000  0.000  0.000  0.01
Hg  0.143  0.000  0.715  0.00

***

DFT (PBE) results for a relaxed structure of LiDy2Zn12Cu3.

Calculated values
DFT formation energy = 0.1934 eV/atom
total magnetic moment = 0.00 Bohr magnetons per cell
crystal system = trigonal
DFT total energy = -1.956 eV/atom

Cell: 7.466 7.466 7.466 Å, 72.04 72.04 72.04°
Positions (direct):
Li  0.000  0.000  0.000
Dy  0.603  0.603  0.603
Dy  0.397  0.397  0.397
Zn  0.298  0.298  0.830
Zn  0.856  0.856  0.358
Zn  0.358  0.856  0.856
Zn  0.830  0.298  0.298
Zn  0.856  0.358  0.856
Zn  0.298  0.830  0.298
Zn  0.702  0.702  0.170
Zn  0.144  0.144  0.642
Zn  0.642  0.144  0.144
Zn  0.170  0.702  0.702
Zn  0.144  0.642  0.144
Zn  0.702  0.170  0.702
Cu  0.500  0.000  0.000
Cu  0.000  0.500  0.000
Cu  0.000  0.000  0.500

***

DFT (PBE) results for a relaxed structure of TaAg4Rh.

Calculated values
DFT formation energy = 0.4723 eV/atom
total magnetic moment = 0.00 Bohr magnetons per cell
crystal system = cubic
DFT total energy = -4.629 eV/atom

Cell: 5.281 5.281 5.281 Å, 60.00 60.00 60.00°
Positions (direct):
Ta  0.000  0.000  0.000
Ag  0.875  0.375  0.375
Ag  0.375  0.375  0.875
Ag  0.375  0.875  0.375
Ag  0.375  0.375  0.375
Rh  0.750  0.750  0.750

***

DFT (PBE) results for a relaxed structure of Ti2Co2Ag.

Calculated values
DFT formation energy = -0.2296 eV/atom
total magnetic moment = 0.00 Bohr magnetons per cell
crystal system = tetragonal
DFT total energy = -6.800 eV/atom

Cell: 7.000 7.000 2.876 Å, 90.00 90.00 90.00°
Positions (direct):
Co  0.366  0.866  0.000
Co  0.866  0.634  0.000
Co  0.634  0.134  0.000
Co  0.134  0.366  0.000
Ag  0.000  0.000  0.000
Ag  0.500  0.500  0.000
Ti  0.159  0.659  0.500
Ti  0.659  0.841  0.500
Ti  0.841  0.341  0.500
Ti  0.341  0.159  0.500

***

Please write out number 6 again, unchanged.
DFT (PBE) results for a relaxed structure of Tm2Sc2Hg3.

Calculated values
DFT formation energy = -0.2825 eV/atom
total magnetic moment = 1.08 Bohr magnetons per cell
crystal system = orthorhombic
DFT total energy = -3.498 eV/atom

Cell: 3.634 3.586 13.422 Å, 90.00 82.22 90.00°
Each line ends with the local moment (μB).
Positions (direct):
Tm  0.570  0.500  0.860  0.04
Tm  0.430  0.500  0.140  0.04
Sc  0.701  0.500  0.598  0.32
Sc  0.299  0.500  0.402  0.32
Hg  0.857  0.000  0.285  0.00
Hg  0.000  0.000  0.000  0.01
Hg  0.143  0.000  0.715  0.00